(1)
A geometry-optimized Cd2CuRh structure. Source: Alexandria via LeMat-Bulk, functional GGA-PBEsol.

Cell and atoms, written as CIF:
```
data_Cd2CuRh
_chemical_formula_sum 'Cd4 Cu2 Rh2'
_space_group_name_H-M_alt 'C 1 m 1'
_space_group_IT_number 8
_cell_length_a 9.863
_cell_length_b 3.005
_cell_length_c 4.596
_cell_angle_alpha 90.00
_cell_angle_beta 111.27
_cell_angle_gamma 90.00
loop_
_space_group_symop_operation_xyz
'x,y,z'
'x,-y,z'
'x+1/2,y+1/2,z'
'x+1/2,-y+1/2,z'
loop_
_atom_site_label
_atom_site_type_symbol
_atom_site_fract_x
_atom_site_fract_y
_atom_site_fract_z
_atom_site_occupancy
Cd1 Cd 0.000 0.000 0.000 1
Cd2 Cd 0.224 0.000 0.654 1
Cu1 Cu 0.474 0.000 0.483 1
Rh1 Rh 0.255 0.500 0.176 1
```

Computed properties:
Crystal system: monoclinic
Magnetization in μB/atom: 0.000
Calculated total energy in eV/atom: -3.730
N(E_F) in states/eV/f.u.: 1.504

(2)
A geometry-optimized AgBrCl structure. Source: Alexandria via LeMat-Bulk, functional GGA-PBEsol.

Cell and atoms, written as CIF:
```
data_AgBrCl
_chemical_formula_sum 'Ag4 Br4 Cl4'
_space_group_name_H-M_alt 'F m m 2'
_space_group_IT_number 42
_space_group_name_Hall 'F 2 -2'
_cell_length_a 3.711
_cell_length_b 6.904
_cell_length_c 11.832
_cell_angle_alpha 90.00
_cell_angle_beta 90.00
_cell_angle_gamma 90.00
loop_
_atom_site_label
_atom_site_type_symbol
_atom_site_fract_x
_atom_site_fract_y
_atom_site_fract_z
_atom_site_occupancy
Ag1 Ag 0.000 0.000 0.000 1
Br1 Br 0.000 0.000 0.647 1
Cl1 Cl 0.000 0.000 0.366 1
```

Computed properties:
Crystal system: orthorhombic
Magnetization in μB/atom: 0.000
Energy relative to the elements, uncorrected in eV per formula unit: -0.691
N(E_F) in states/eV/f.u.: 2.244

(3)
A geometry-optimized InCoIr2 structure. Source: Alexandria via LeMat-Bulk, functional GGA-PBEsol.

Cell and atoms, written as CIF:
```
data_InCoIr2
_chemical_formula_sum 'In2 Co2 Ir4'
_space_group_name_H-M_alt 'I 4/m m m'
_space_group_IT_number 139
_space_group_name_Hall '-I 4 2'
_cell_length_a 3.897
_cell_length_b 3.897
_cell_length_c 7.606
_cell_angle_alpha 90.00
_cell_angle_beta 90.00
_cell_angle_gamma 90.00
loop_
_atom_site_label
_atom_site_type_symbol
_atom_site_fract_x
_atom_site_fract_y
_atom_site_fract_z
_atom_site_occupancy
In1 In 0.000 0.000 0.000 1
Co1 Co 0.000 0.000 0.500 1
Ir1 Ir 0.000 0.500 0.250 1
```

Computed properties:
Crystal system: tetragonal
Magnetization in μB/atom: 0.423
Calculated total energy in eV/atom: -7.439
N(E_F) in states/eV/f.u.: 6.570

(4)
A geometry-optimized CaGa2SeO structure. Source: Alexandria via LeMat-Bulk, functional GGA-PBEsol.

Cell and atoms, written as CIF:
```
data_CaGa2SeO
_chemical_formula_sum 'Ca1 Ga2 Se1 O1'
_space_group_name_H-M_alt 'P 4/m m m'
_space_group_IT_number 123
_space_group_name_Hall '-P 4 2'
_cell_length_a 4.131
_cell_length_b 4.131
_cell_length_c 6.803
_cell_angle_alpha 90.00
_cell_angle_beta 90.00
_cell_angle_gamma 90.00
loop_
_atom_site_label
_atom_site_type_symbol
_atom_site_fract_x
_atom_site_fract_y
_atom_site_fract_z
_atom_site_occupancy
Ca1 Ca 0.000 0.000 0.000 1
Ga1 Ga 0.000 0.500 0.500 1
Se1 Se 0.500 0.500 0.000 1
O1 O 0.500 0.500 0.500 1
```

Computed properties:
Crystal system: tetragonal
Magnetization in μB/atom: 0.000
Energy relative to the elements, uncorrected in eV per formula unit: -3.182
N(E_F) in states/eV/f.u.: 1.071

(5)
A geometry-optimized LaNbAg2Ru structure. Source: Alexandria via LeMat-Bulk, functional GGA-PBEsol.

Cell and atoms, written as CIF:
```
data_LaNbAg2Ru
_chemical_formula_sum 'La1 Nb1 Ag2 Ru1'
_space_group_name_H-M_alt 'P 4/m m m'
_space_group_IT_number 123
_space_group_name_Hall '-P 4 2'
_cell_length_a 5.102
_cell_length_b 5.102
_cell_length_c 4.592
_cell_angle_alpha 90.00
_cell_angle_beta 90.00
_cell_angle_gamma 90.00
loop_
_atom_site_label
_atom_site_type_symbol
_atom_site_fract_x
_atom_site_fract_y
_atom_site_fract_z
_atom_site_occupancy
La1 La 0.000 0.000 0.000 1
Nb1 Nb 0.500 0.500 0.500 1
Ag1 Ag 0.000 0.500 0.500 1
Ru1 Ru 0.500 0.500 0.000 1
```

Computed properties:
Crystal system: tetragonal
Magnetization in μB/atom: 0.000
Calculated total energy in eV/atom: -5.880
N(E_F) in states/eV/f.u.: 5.604

(6)
A geometry-optimized SiNiN3 structure. Source: Alexandria via LeMat-Bulk, functional GGA-PBEsol.

Cell and atoms, written as CIF:
```
data_SiNiN3
_chemical_formula_sum 'Si1 Ni1 N3'
_space_group_name_H-M_alt 'P m -3 m'
_space_group_IT_number 221
_space_group_name_Hall '-P 4 2 3'
_cell_length_a 3.533
_cell_length_b 3.533
_cell_length_c 3.533
_cell_angle_alpha 90.00
_cell_angle_beta 90.00
_cell_angle_gamma 90.00
loop_
_atom_site_label
_atom_site_type_symbol
_atom_site_fract_x
_atom_site_fract_y
_atom_site_fract_z
_atom_site_occupancy
Si1 Si 0.000 0.000 0.000 1
Ni1 Ni 0.500 0.500 0.500 1
N1 N 0.000 0.000 0.500 1
```

Computed properties:
Crystal system: cubic
Magnetization in μB/atom: 0.000
Energy relative to the elements, uncorrected in eV per formula unit: 3.834
N(E_F) in states/eV/f.u.: 3.674

(7)
A geometry-optimized BaCa4Se structure. Source: Alexandria via LeMat-Bulk, functional GGA-PBEsol.

Cell and atoms, written as CIF:
```
data_BaCa4Se
_chemical_formula_sum 'Ba4 Ca16 Se4'
_space_group_name_H-M_alt 'F -4 3 m'
_space_group_IT_number 216
_space_group_name_Hall 'F -4 2 3'
_cell_length_a 9.880
_cell_length_b 9.880
_cell_length_c 9.880
_cell_angle_alpha 90.00
_cell_angle_beta 90.00
_cell_angle_gamma 90.00
loop_
_atom_site_label
_atom_site_type_symbol
_atom_site_fract_x
_atom_site_fract_y
_atom_site_fract_z
_atom_site_occupancy
Ba1 Ba 0.000 0.000 0.000 1
Ca1 Ca 0.125 0.125 0.625 1
Se1 Se 0.250 0.250 0.250 1
```

Computed properties:
Crystal system: cubic
Magnetization in μB/atom: 0.000
Energy relative to the elements, uncorrected in eV per formula unit: 0.214
N(E_F) in states/eV/f.u.: 4.547

(8)
A geometry-optimized Na2NiO3 structure. Source: Alexandria via LeMat-Bulk, functional GGA-PBEsol.

Cell and atoms, written as CIF:
```
data_Na2NiO3
_chemical_formula_sum 'Na16 Ni8 O24'
_space_group_name_H-M_alt 'C 1 2/c 1'
_space_group_IT_number 15
_cell_length_a 5.144
_cell_length_b 8.905
_cell_length_c 10.658
_cell_angle_alpha 90.00
_cell_angle_beta 99.55
_cell_angle_gamma 90.00
loop_
_space_group_symop_operation_xyz
'x,y,z'
'-x,-y,-z'
'-x,y,-z+1/2'
'x,-y,z+1/2'
'x+1/2,y+1/2,z'
'-x+1/2,-y+1/2,-z'
'-x+1/2,y+1/2,-z+1/2'
'x+1/2,-y+1/2,z+1/2'
loop_
_atom_site_label
_atom_site_type_symbol
_atom_site_fract_x
_atom_site_fract_y
_atom_site_fract_z
_atom_site_occupancy
Na1 Na 0.000 0.086 0.250 1
Na2 Na 0.236 0.079 0.000 1
Na3 Na 0.250 0.250 0.500 1
Ni1 Ni 0.000 0.248 0.750 1
Ni2 Ni 0.000 0.419 0.250 1
O1 O 0.089 0.414 0.652 1
O2 O 0.154 0.102 0.652 1
O3 O 0.155 0.274 0.152 1
```

Computed properties:
Crystal system: monoclinic
Magnetization in μB/atom: 0.000
Energy relative to the elements, uncorrected in eV per formula unit: -7.057